No. 1
This record from Alexandria via LeMat-Bulk describes a geometry-optimized ScOs2Rh structure. The functional is PBE-GGA.

Results
The calculation puts the total energy at -36.44 eV per cell. As for the total magnetic moment: 0.000 μB per atom. For the energy relative to the lowest polymorph listed for this composition, the calculation gives 0.092 eV per atom. As for the volume: 62 Å³/cell. Its formation energy from the elements is -74 meV per atom.

Unit cell a=4.949 b=4.949 c=4.949 alpha=134.05 beta=134.05 gamma=67.00
Atoms (fractional coordinates):
Sc 0.000 0.000 0.000
Os 0.250 0.750 0.500
Os 0.750 0.250 0.500
Rh 0.500 0.500 0.000

No. 2
This record from Alexandria via LeMat-Bulk describes a geometry-optimized ScOsRh6 structure. The functional is PBE-GGA.

Results
The calculation puts the total energy at -63.96 eV per cell. As for the total magnetic moment: 0.000 μB per atom. As for the volume: 117 Å³/cell. Its formation energy from the elements is -286 meV per atom.

Unit cell a=5.493 b=5.493 c=3.890 alpha=90.00 beta=90.00 gamma=90.00
Atoms (fractional coordinates):
Sc 0.000 0.000 0.000
Os 0.500 0.500 0.000
Rh 0.000 0.500 0.000
Rh 0.260 0.260 0.500
Rh 0.260 0.740 0.500
Rh 0.500 0.000 0.000
Rh 0.740 0.260 0.500
Rh 0.740 0.740 0.500

No. 3
This record from Alexandria via LeMat-Bulk describes a geometry-optimized Sc4OsRh structure. The functional is PBE-GGA.

Results
The calculation puts the total energy at -46.59 eV per cell. As for the total magnetic moment: 0.000 μB per atom. For the energy relative to the lowest polymorph listed for this composition, the calculation gives 0.064 eV per atom. As for the volume: 129 Å³/cell. Its formation energy from the elements is -447 meV per atom.

Unit cell a=4.501 b=4.501 c=6.375 alpha=90.00 beta=90.00 gamma=90.00
Atoms (fractional coordinates):
Sc 0.000 0.500 0.246
Sc 0.000 0.500 0.754
Sc 0.500 0.000 0.246
Sc 0.500 0.000 0.754
Os 0.000 0.000 0.000
Rh 0.500 0.500 0.500

No. 4
This record from Alexandria via LeMat-Bulk describes a geometry-optimized ScOsRh2 structure. The functional is PBE-GGA.

Results
The calculation puts the total energy at -32.22 eV per cell. As for the total magnetic moment: 0.000 μB per atom. For the energy relative to the lowest polymorph listed for this composition, the calculation gives 0.386 eV per atom. As for the volume: 62 Å³/cell. Its formation energy from the elements is 11 meV per atom.

Unit cell a=9.005 b=9.005 c=9.005 alpha=18.20 beta=18.20 gamma=18.20
Atoms (fractional coordinates):
Sc 0.000 0.000 0.000
Os 0.244 0.244 0.244
Rh 0.499 0.499 0.499
Rh 0.746 0.746 0.746

No. 5
This record from Alexandria via LeMat-Bulk describes a geometry-optimized ScOsRh2 structure. The functional is PBE-GGA.

Results
The calculation puts the total energy at -33.77 eV per cell. As for the total magnetic moment: 0.000 μB per atom. For the energy relative to the lowest polymorph listed for this composition, the calculation gives 0.000 eV per atom. As for the volume: 61 Å³/cell. Its formation energy from the elements is -375 meV per atom.

Unit cell a=4.741 b=4.741 c=2.822 alpha=90.00 beta=90.00 gamma=107.45
Atoms (fractional coordinates):
Sc 0.000 0.000 0.000
Os 0.500 0.500 0.000
Rh 0.000 0.500 0.500
Rh 0.500 0.000 0.500

No. 6
This record from Alexandria via LeMat-Bulk describes a geometry-optimized ScOsRh structure. The functional is PBE-GGA.

Results
The calculation puts the total energy at -23.09 eV per cell. As for the total magnetic moment: 0.000 μB per atom. For the energy relative to the lowest polymorph listed for this composition, the calculation gives 0.843 eV per atom. As for the volume: 55 Å³/cell. Its formation energy from the elements is 607 meV per atom.

Unit cell a=4.273 b=4.273 c=4.273 alpha=60.00 beta=60.00 gamma=60.00
Atoms (fractional coordinates):
Sc 0.000 0.000 0.000
Os 0.750 0.750 0.750
Rh 0.250 0.250 0.250

No. 7
This record from Alexandria via LeMat-Bulk describes a geometry-optimized ScOs4Rh structure. The functional is PBE-GGA.

Results
The calculation puts the total energy at -57.41 eV per cell. As for the total magnetic moment: 0.000 μB per atom. As for the volume: 97 Å³/cell. Its formation energy from the elements is 199 meV per atom.

Unit cell a=5.161 b=5.161 c=5.161 alpha=60.00 beta=60.00 gamma=60.00
Atoms (fractional coordinates):
Sc 0.000 0.000 0.000
Os 0.376 0.376 0.376
Os 0.376 0.376 0.872
Os 0.376 0.872 0.376
Os 0.872 0.376 0.376
Rh 0.750 0.750 0.750

No. 8
This record from Alexandria via LeMat-Bulk describes a geometry-optimized Sc2OsRh structure. The functional is PBE-GGA.

Results
The calculation puts the total energy at -32.42 eV per cell. As for the total magnetic moment: 0.000 μB per atom. As for the volume: 69 Å³/cell. Its formation energy from the elements is -294 meV per atom.

Unit cell a=4.514 b=4.514 c=5.381 alpha=101.42 beta=101.42 gamma=40.02
Atoms (fractional coordinates):
Sc 0.249 0.249 0.246
Sc 0.751 0.751 0.754
Os 0.500 0.500 0.000
Rh 0.000 0.000 0.500